A relaxed structure of CsTi2InMo. Source: Alexandria, functional PBE-GGA.

```
data_CsTi2InMo
_space_group_name_H-M_alt 'P 4/m m m'
_space_group_IT_number 123
_space_group_name_Hall '-P 4 2'
_cell_length_a 4.9309
_cell_length_b 4.9309
_cell_length_c 5.6150
_cell_angle_alpha 90.00
_cell_angle_beta 90.00
_cell_angle_gamma 90.00
loop_
_atom_site_label
_atom_site_type_symbol
_atom_site_fract_x
_atom_site_fract_y
_atom_site_fract_z
Cs1 Cs 0.0000 0.0000 0.0000
Ti1 Ti 0.0000 0.5000 0.5000
In1 In 0.5000 0.5000 0.0000
Mo1 Mo 0.5000 0.5000 0.5000
```

* VASP energy: -5.2651 eV per atom
* volume: 137 Å³ per cell
* N(E_F): 5.3 states/eV/cell
* M_tot: 0.00 μB per atom
* energy of formation from the pure elements: 777.4 meV/atom